DFT (PBE) results for crystalline CaAs2Au at its relaxed geometry.

Cell lengths 6.9919, 6.9919, 6.9919 Å; angles 90.00, 90.00, 90.00 degrees
Last column: nearest neighbours and their distance in Å.
Space group F-43m (No. 216)
Symmetry-distinct sites (fractional):
Ca (0.0000, 0.0000, 0.0000) (multiplicity 4)  4 Au 3.03, 4 As 3.03
As (0.0000, 0.0000, 0.5000) (multiplicity 4)  4 As 3.03, 4 Au 3.03
As (0.2500, 0.2500, 0.7500) (multiplicity 4)  4 As 3.03, 4 Ca 3.03
Au (0.2500, 0.2500, 0.2500) (multiplicity 4)  4 As 3.03, 4 Ca 3.03

=====

DFT (PBE) results for crystalline CaAs2Au2 at its relaxed geometry.

Cell lengths 7.7276, 7.7276, 3.5444 Å; angles 90.00, 90.00, 90.00 degrees
Last column: nearest neighbours and their distance in Å.
Space group P4/mbm (No. 127)
Symmetry-distinct sites (fractional):
Ca (0.0000, 0.0000, 0.0000) (multiplicity 2)  4 Au 3.05, 8 As 3.32
As (0.1894, 0.3106, 0.5000) (multiplicity 4)  2 Au 2.68
Au (0.1261, 0.6261, 0.0000) (multiplicity 4)  2 As 2.68, 1 Au 2.76

=====

DFT (PBE) results for crystalline CaAs2Au at its relaxed geometry.

Cell lengths 4.0476, 4.4959, 4.5099 Å; angles 90.00, 90.00, 90.00 degrees
Last column: nearest neighbours and their distance in Å.
Space group Pmmm (No. 47)
Symmetry-distinct sites (fractional):
Ca (0.0000, 0.0000, 0.0000) (multiplicity 1)  8 As 3.02-3.03, 4 Au 3.18
As (0.5000, 0.0000, 0.5000) (multiplicity 1)  4 Au 3.02, 4 Ca 3.03, 4 As 3.18
As (0.5000, 0.5000, 0.0000) (multiplicity 1)  4 Ca 3.02, 4 Au 3.03, 4 As 3.18
Au (0.0000, 0.5000, 0.5000) (multiplicity 1)  8 As 3.02-3.03, 4 Ca 3.18

=====

DFT (PBE) results for crystalline CaAs2Au at its relaxed geometry.

Cell lengths 4.6739, 4.6739, 14.5361 Å; angles 90.00, 90.00, 120.00 degrees
Last column: nearest neighbours and their distance in Å.
Space group R-3m (No. 166, hexagonal axes)
Symmetry-distinct sites (fractional):
Ca (0.0000, 0.0000, 0.0000) (multiplicity 3)  8 As 3.03-3.25
As (0.0000, 0.0000, 0.2083) (multiplicity 6)  3 Au 2.77, 3 As 2.96, 1 Ca 3.03
Au (0.0000, 0.0000, 0.5000) (multiplicity 3)  6 As 2.77

=====

In μB/atom, the magnetization values for the records above are, in order, 0.000 0.000 0.000 0.000.
In eV per atom, the final energy values for the records above are, in order, -3.90 -3.84 -4.05 -4.01.